A relaxed MgZn4Co6O16 crystal. Source: Alexandria, functional GGA+U.

Cell: 5.747 5.759 9.545 Å, 89.97 89.90 60.07°
Atoms (fractional coordinates):
Mg: 0.000 0.000 0.000
Zn: 0.334 0.327 0.900
Zn: 0.336 0.325 0.497
Zn: 0.663 0.669 0.392
Zn: 0.669 0.660 0.007
Co: 0.166 0.166 0.225
Co: 0.167 0.664 0.225
Co: 0.333 0.827 0.708
Co: 0.665 0.166 0.225
Co: 0.835 0.325 0.708
Co: 0.835 0.827 0.709
O: 0.000 0.996 0.323
O: 0.001 0.993 0.805
O: 0.035 0.483 0.335
O: 0.159 0.151 0.614
O: 0.159 0.679 0.613
O: 0.317 0.836 0.116
O: 0.334 0.330 0.114
O: 0.479 0.038 0.338
O: 0.479 0.483 0.335
O: 0.519 0.512 0.825
O: 0.519 0.956 0.827
O: 0.668 0.659 0.607
O: 0.687 0.151 0.613
O: 0.842 0.315 0.113
O: 0.846 0.836 0.116
O: 0.964 0.512 0.825

Summary:
Total magnetic moment (μB/cell): 1.5
Space-group type: P1, No. 1
Offset from the most stable computed form (meV/atom): 8